Crystalline Co2MoIr at its relaxed geometry, computed with GGA-PBE.

Cell: 2.6688 2.6688 25.8002 Å, 90.00 90.00 120.00°
Space group R-3m (No. 166, hexagonal axes)
Unique sites:
Co1 0.0000 0.0000 0.2489 [6 per cell]
Mo1 0.0000 0.0000 0.0000 [3 per cell]
Ir1 0.0000 0.0000 0.5000 [3 per cell]

Computed properties:
The value obtained for the calculated formation energy is 0.615 eV per formula unit.